Record 1
AgSn2S6 | GGA-PBE | relaxed

Cell and atoms, written as extended XYZ:
```
18
Lattice="-5.027 -1.576 -3.267 -0.984 -4.782 3.820 -6.292 6.517 6.538" Properties=species:S:1:pos:R:3 pbc="T T T"
Ag -3.005 -3.179 0.276
Ag -3.146 3.258 3.269
Sn -5.107 -1.002 2.460
Sn -7.195 1.161 4.630
Sn -1.044 1.081 1.085
Sn -5.248 5.435 5.453
S -5.163 -3.304 1.451
S -9.394 1.078 5.847
S -7.303 -1.139 3.651
S -4.252 -2.191 -1.909
S -6.384 0.013 0.260
S -8.446 2.149 2.402
S -3.857 -1.990 4.688
S -5.919 0.146 6.831
S -1.759 -4.167 2.462
S -4.999 1.298 3.439
S -2.909 -0.919 1.244
S -7.139 3.463 5.639
```

total moment: 0.00 Bohr magnetons per cell
total DFT energy (no corrections): -3.890 eV/atom

Record 2
NaMg6Zn | GGA-PBE | relaxed

Cell and atoms, written as extended XYZ:
```
8
Lattice="3.171 -5.498 0.000 3.171 5.498 0.000 0.000 0.000 5.196" Properties=species:S:1:pos:R:3 pbc="T T T"
Na 3.171 1.868 2.598
Mg 1.555 0.890 0.000
Mg 4.787 0.890 0.000
Mg 3.171 -1.845 0.000
Mg 1.546 -0.935 2.598
Mg 4.796 -0.935 2.598
Mg 3.171 -3.683 2.598
Zn 3.171 3.750 0.000
```

ΔE_f: 3.18 kJ/mol of atoms
total moment: 0.00 Bohr magnetons per cell
total DFT energy (no corrections): -1.487 eV/atom

Record 3
Cr4AgRu | GGA-PBE | relaxed

Cell and atoms, written as extended XYZ:
```
6
Lattice="-3.035 -1.890 -3.188 -4.089 2.265 -1.049 -0.563 2.064 -4.286" Properties=species:S:1:pos:R:3 pbc="T T T"
Cr -4.411 -0.055 -4.801
Cr -3.150 1.961 -5.361
Cr -4.948 2.063 -3.711
Cr -2.864 0.909 -3.176
Ag 0.000 0.000 0.000
Ru -5.765 1.829 -6.393
```

ΔE_f: 26.92 kJ/mol of atoms
total moment: 0.00 Bohr magnetons per cell
total DFT energy (no corrections): -8.158 eV/atom

Record 4
Tm2Ga3Tc | GGA-PBE | relaxed

Cell and atoms, written as extended XYZ:
```
6
Lattice="0.461 1.977 -5.057 -3.368 -4.165 1.000 -2.410 2.871 3.838" Properties=species:S:1:pos:R:3 pbc="T T T"
Tm -1.182 0.247 -2.947
Tm -4.135 0.435 2.728
Ga -2.658 0.341 -0.109
Ga -1.205 1.435 1.919
Ga -0.974 2.424 -0.609
Tc 0.000 0.000 0.000
```

ΔE_f: -51.64 kJ/mol of atoms
total moment: 0.00 Bohr magnetons per cell
total DFT energy (no corrections): -5.267 eV/atom
offset from the most stable computed form: 0.000 eV/f.u.